Tm4Bi3Pb (PBE-GGA, relaxed); calculated volume = 246 Å³ per cell; formation energy from the elements = -0.65 eV/atom; total magnetic moment = 0.000 μB/atom
1.0
6.2616 0.0000 0.0000
0.0000 6.2616 0.0000
0.0000 0.0000 6.2616
Tm Bi Pb
4 3 1
Direct
0.0000 0.0000 0.0000
0.0000 0.5000 0.5000
0.5000 0.0000 0.5000
0.5000 0.5000 0.0000
0.0000 0.0000 0.5000
0.0000 0.5000 0.0000
0.5000 0.0000 0.0000
0.5000 0.5000 0.5000